# PrDy6Y2Ho

Crystalline PrDy6Y2Ho at its relaxed geometry (GGA-PBE, Alexandria).

```
data_PrDy6Y2Ho
_space_group_name_H-M_alt 'P 1'
_space_group_IT_number 1
_space_group_name_Hall 'P 1'
_cell_length_a 9.3279
_cell_length_b 8.8367
_cell_length_c 8.8367
_cell_angle_alpha 116.34
_cell_angle_beta 92.35
_cell_angle_gamma 92.35
loop_
_atom_site_label
_atom_site_type_symbol
_atom_site_fract_x
_atom_site_fract_y
_atom_site_fract_z
_atom_site_occupancy
Pr1 Pr 0.2500 0.9627 0.0373 1
Pr2 Pr 0.7500 0.0373 0.9627 1
Dy1 Dy 0.0590 0.1177 0.7619 1
Dy2 Dy 0.4410 0.2381 0.8823 1
Dy3 Dy 0.9410 0.8823 0.2381 1
Dy4 Dy 0.5590 0.7619 0.1177 1
Dy5 Dy 0.3171 0.9939 0.4458 1
Dy6 Dy 0.1829 0.5542 0.0061 1
Dy7 Dy 0.6829 0.0061 0.5542 1
Dy8 Dy 0.8171 0.4458 0.9939 1
Dy9 Dy 0.1112 0.7099 0.4749 1
Dy10 Dy 0.3888 0.5251 0.2901 1
Dy11 Dy 0.8888 0.2901 0.5251 1
Dy12 Dy 0.6112 0.4749 0.7099 1
Y1 Y 0.4462 0.7962 0.6949 1
Y2 Y 0.0538 0.3051 0.2038 1
Y3 Y 0.5538 0.2038 0.3051 1
Y4 Y 0.9462 0.6949 0.7962 1
Ho1 Ho 0.2500 0.4126 0.5874 1
Ho2 Ho 0.7500 0.5874 0.4126 1
```

Calculated values
As for the density of states at the Fermi level: 30.131 states/eV/cell. As for the crystal system: monoclinic. The electronic total energy is -0.179 Ha/atom. The calculation puts the calculated density at 7.44 g cm⁻³. As for the symmetry: C2/c, No. 15. The value obtained for the formation energy from the elements is 1.24 eV/f.u.